7
Lattice="-3.3215 2.3394 -3.2967 -1.2874 -5.6405 1.4462 -3.4695 1.9019 4.8453" Properties=species:S:1:pos:R:3 comment="PBE Ce2PuCd2Hg2, relaxed" final_energy_ev_per_atom=-4.24 density_g_cm3=10.89 total_magnetization_mub_per_fu=7.5 spacegroup="C2/m, No. 12" dos_at_fermi_per_ev_atom=2.09 pbc="T T T"
Ce -2.1379 -0.3139 1.9313
Ce -5.9405 -1.0853 1.0635
Pu 0.0000 0.0000 0.0000
Cd -4.5245 1.9298 1.7764
Cd -3.5540 -3.3290 1.2184
Hg -3.3465 -0.4514 -1.1003
Hg -4.7320 -0.9478 4.0951

8
Lattice="12.6999 0.0000 0.0000 0.0000 12.6999 0.0000 6.3499 6.3499 2.2472" Properties=species:S:1:pos:R:3 comment="PBE K2TiMo, relaxed" density_g_cm3=2.03 total_magnetization_mub_per_fu=0.7 spacegroup="I-42d, No. 122" relative_energy_ev_per_fu=0.00 dos_at_fermi_per_ev_atom=1.68 pbc="T T T"
Mo 0.0000 0.0000 0.0000
Mo 12.6999 6.3499 1.1236
K 11.5317 3.1750 0.5618
K 13.8681 9.5249 0.5618
K 9.5249 7.5181 1.6854
K 15.8748 5.1817 1.6854
Ti 6.3499 6.3499 0.0000
Ti 6.3499 12.6999 1.1236

20
Lattice="-3.5025 -4.2531 -0.1532 2.9438 -3.6511 5.2614 -4.7337 2.6999 4.4701" Properties=species:S:1:pos:R:3 comment="PBE Ga2BiPdO6, relaxed" e_form_raw_ev_per_atom=-1.20 density_g_cm3=6.77 total_magnetization_mub_per_fu=0.7 spacegroup="C2/c, No. 15" dos_at_fermi_per_ev_atom=0.23 pbc="T T T"
Ga -1.2777 -2.0848 6.7138
Ga -0.9195 -2.1045 3.0796
Ga -4.0146 -3.1194 2.8645
Ga -4.3728 -3.0997 6.4987
Bi 1.2591 -4.0450 5.1397
Bi -6.5514 -1.1592 4.4386
Pd -3.4063 -0.1857 4.6588
Pd -1.8860 -5.0185 4.9194
O -1.1980 -2.2066 8.5900
O -0.5580 -2.3477 1.2489
O -4.0943 -2.9976 0.9883
O -4.7342 -2.8566 8.3294
O -0.7596 -3.7389 6.0238
O 0.7045 -2.2224 3.9903
O -4.5327 -1.4653 3.5545
O -5.9968 -2.9818 5.5880
O -3.6958 -4.8289 6.1962
O -2.2416 -3.4169 3.4195
O -1.5965 -0.3754 3.3821
O -3.0507 -1.7874 6.1588

4
Lattice="3.4323 0.0000 0.0000 0.0000 3.4323 0.0000 0.0000 0.0000 6.9764" Properties=species:S:1:pos:R:3 comment="PBE CuTe2P, relaxed" e_form_raw_ev_per_atom=0.54 density_g_cm3=7.07 total_magnetization_mub_per_fu=0.0 spacegroup="P4/mmm, No. 123" dos_at_fermi_per_ev_atom=0.65 pbc="T T T"
Cu 1.7161 1.7161 1.7441
P 1.7161 1.7161 5.2323
Te 0.0000 0.0000 0.0218
Te 0.0000 0.0000 3.4664